Record 1
{"formula": "DyErTm2Sc5", "functional": "GGA-PBE", "state": "optimized geometry", "lattice_angstrom": [[5.302, 0.000, 0.000], [-2.651, 9.238, 0.000], [0.000, 0.000, 10.239]], "species": ["Sc", "Sc", "Sc", "Sc", "Sc", "Sc", "Sc", "Sc", "Sc", "Sc", "Er", "Er", "Tm", "Tm", "Tm", "Tm", "Dy", "Dy"], "fractional_positions": [[0.478, 0.956, 0.734], [0.701, 0.402, 0.210], [0.021, 0.042, 0.032], [0.714, 0.428, 0.800], [0.522, 0.044, 0.234], [0.299, 0.598, 0.710], [0.398, 0.797, 0.023], [0.602, 0.203, 0.523], [0.979, 0.958, 0.532], [0.286, 0.572, 0.300], [0.583, 0.165, 0.958], [0.417, 0.835, 0.458], [0.892, 0.785, 0.233], [0.112, 0.225, 0.324], [0.888, 0.775, 0.824], [0.107, 0.215, 0.733], [0.207, 0.415, 0.010], [0.793, 0.585, 0.510]], "e_form_ev_per_fu": 1.5, "volume_a3_per_cell": 501.6, "spacegroup": "Cmc2_1 (36)"}

Record 2
{"formula": "Dy2Y6ErSc3", "functional": "GGA-PBE", "state": "optimized geometry", "lattice_angstrom": [[6.055, 0.001, 0.005], [-3.025, 5.245, 0.005], [-1.018, -1.762, 11.319]], "species": ["Dy", "Dy", "Y", "Y", "Y", "Y", "Y", "Y", "Er", "Sc", "Sc", "Sc"], "fractional_positions": [[0.667, 0.333, 0.000], [0.333, 0.667, 0.000], [0.247, 0.247, 0.741], [0.581, 0.914, 0.741], [0.753, 0.753, 0.259], [0.914, 0.581, 0.741], [0.086, 0.419, 0.259], [0.419, 0.086, 0.259], [0.000, 0.000, 0.000], [0.833, 0.167, 0.500], [0.167, 0.833, 0.500], [0.500, 0.500, 0.500]], "e_form_ev_per_fu": 0.6, "volume_a3_per_cell": 359.6, "spacegroup": "C2/m (12)"}

Record 3
{"formula": "DyYEr5Sc2", "functional": "GGA-PBE", "state": "optimized geometry", "lattice_angstrom": [[5.543, 0.000, 0.000], [-2.771, 10.644, 0.000], [0.000, 0.000, 9.260]], "species": ["Er", "Er", "Er", "Er", "Er", "Er", "Er", "Er", "Er", "Er", "Dy", "Dy", "Y", "Y", "Sc", "Sc", "Sc", "Sc"], "fractional_positions": [[0.469, 0.937, 0.749], [0.531, 0.063, 0.249], [0.392, 0.783, 0.046], [0.010, 0.019, 0.017], [0.307, 0.614, 0.720], [0.736, 0.471, 0.836], [0.608, 0.217, 0.546], [0.693, 0.386, 0.220], [0.990, 0.981, 0.517], [0.264, 0.529, 0.336], [0.814, 0.627, 0.517], [0.186, 0.373, 0.017], [0.402, 0.804, 0.420], [0.598, 0.196, 0.920], [0.861, 0.721, 0.196], [0.887, 0.774, 0.823], [0.113, 0.226, 0.323], [0.139, 0.279, 0.696]], "e_form_ev_per_fu": 1.6, "volume_a3_per_cell": 546.3, "spacegroup": "Cmc2_1 (36)"}

Record 4
{"formula": "Dy2Y4ErSc", "functional": "GGA-PBE", "state": "optimized geometry", "lattice_angstrom": [[4.979, 0.000, 0.000], [0.000, 4.898, 0.917], [0.000, 3.069, 10.675]], "species": ["Sc", "Dy", "Dy", "Y", "Y", "Y", "Y", "Er"], "fractional_positions": [[0.000, 0.500, 0.500], [0.000, 0.000, 0.000], [0.500, 0.000, 0.500], [0.500, 0.746, 0.254], [0.000, 0.755, 0.746], [0.000, 0.245, 0.254], [0.500, 0.254, 0.746], [0.500, 0.500, 0.000]], "e_form_ev_per_fu": 0.3, "volume_a3_per_cell": 246.3, "spacegroup": "P4/mmm (123)"}

Question: Number 4 is which compound?
Answer: Dy2Y4ErSc